Computed, not measured: a relaxed RbCaScC2 crystal at the GGA-PBE level of DFT.

a = 4.520 Å, b = 4.520 Å, c = 5.055 Å
α = 90.00°, β = 90.00°, γ = 90.00°
Space group P4/mmm (No. 123)
Unique sites:
Rb (0.000, 0.000, 0.000) [1 per cell]
Ca (0.500, 0.500, 0.000) [1 per cell]
Sc (0.000, 0.000, 0.500) [1 per cell]
C (0.000, 0.500, 0.500) [2 per cell]

Summary:
ΔH_f (0 K): 7.548 eV/f.u.
Crystal system: tetragonal